Entry from Alexandria via LeMat-Bulk: crystalline SnP2S at its relaxed geometry (PBE).

Calculated values
ΔE to the lowest computed polymorph	0.0	meV per atom
V	23.262	Å³/atom
space-group type	I-42d
DFT total energy	-4.35	eV/atom
formation energy without anion corrections	1.5	eV/f.u.

a b c (Å): 5.1778 5.1778 7.8478
angles (deg): 70.74 70.74 90.00
Fractional coordinates of all 8 atoms:
S 0.5000 0.5000 0.0000
S 0.2500 0.7500 0.5000
P 0.5666 0.1250 0.2500
P 0.8750 0.8166 0.7500
P 0.1834 0.6250 0.2500
P 0.3750 0.4334 0.7500
Sn 0.7500 0.2500 0.5000
Sn 0.0000 0.0000 0.0000


Entry from Alexandria via LeMat-Bulk: crystalline SnPS2 at its relaxed geometry (PBE).

Calculated values
ΔE to the lowest computed polymorph	195.0	meV per atom
V	24.132	Å³/atom
space-group type	I-42d
DFT total energy	-4.20	eV/atom
formation energy without anion corrections	0.9	eV/f.u.

a b c (Å): 5.1077 5.1077 8.2343
angles (deg): 71.93 71.93 90.00
Fractional coordinates of all 8 atoms:
Sn 0.7500 0.2500 0.5000
Sn 0.0000 0.0000 0.0000
S 0.1828 0.6250 0.2500
S 0.3750 0.4328 0.7500
S 0.5672 0.1250 0.2500
S 0.8750 0.8172 0.7500
P 0.5000 0.5000 0.0000
P 0.2500 0.7500 0.5000


Entry from Alexandria via LeMat-Bulk: crystalline SnP2S6 at its relaxed geometry (PBE).

Calculated values
V	24.927	Å³/atom
space-group type	C2/c
DFT total energy	-4.57	eV/atom
formation energy without anion corrections	-1.5	eV/f.u.

a b c (Å): 5.9860 8.7849 8.7849
angles (deg): 89.71 80.29 80.29
Fractional coordinates of all 18 atoms:
P 0.2592 0.6322 0.7876
P 0.2408 0.2124 0.3678
P 0.7408 0.3678 0.2124
P 0.7592 0.7876 0.6322
S 0.9611 0.5815 0.7088
S 0.5868 0.5744 0.1560
S 0.7069 0.9543 0.7985
S 0.2931 0.0457 0.2015
S 0.5389 0.2912 0.4185
S 0.2069 0.7985 0.9543
S 0.4132 0.4256 0.8440
S 0.7931 0.2015 0.0457
S 0.9132 0.8440 0.4256
S 0.0389 0.4185 0.2912
S 0.0868 0.1560 0.5744
S 0.4611 0.7088 0.5815
Sn 0.2500 0.1407 0.8593
Sn 0.7500 0.8593 0.1407


Entry from Alexandria via LeMat-Bulk: crystalline SnP2S2 at its relaxed geometry (PBE).

Calculated values
ΔE to the lowest computed polymorph	315.4	meV per atom
V	19.680	Å³/atom
space-group type	P4/mmm
DFT total energy	-3.97	eV/atom
formation energy without anion corrections	3.2	eV/f.u.

a b c (Å): 4.6314 4.6314 4.5873
angles (deg): 90.00 90.00 90.00
Fractional coordinates of all 5 atoms:
S 0.0000 0.0000 0.5000
S 0.0000 0.0000 0.0000
P 0.0000 0.5000 0.0000
P 0.5000 0.0000 0.0000
Sn 0.5000 0.5000 0.5000


Entry from Alexandria via LeMat-Bulk: crystalline SnPS3 at its relaxed geometry (PBE).

Calculated values
V	28.394	Å³/atom
space-group type	C2/m
DFT total energy	-4.67	eV/atom
formation energy without anion corrections	-1.6	eV/f.u.

a b c (Å): 7.0002 7.0002 7.5022
angles (deg): 82.22 82.22 125.99
Fractional coordinates of all 10 atoms:
S 0.7593 0.7593 0.7738
S 0.0880 0.3607 0.7534
S 0.6393 0.9120 0.2466
S 0.3607 0.0880 0.7534
S 0.2407 0.2407 0.2262
S 0.9120 0.6393 0.2466
P 0.9470 0.9470 0.1573
P 0.0530 0.0530 0.8427
Sn 0.6611 0.3389 0.0000
Sn 0.3389 0.6611 0.0000


Entry from Alexandria via LeMat-Bulk: crystalline Sn3P5S12 at its relaxed geometry (PBE).

Calculated values
V	22.045	Å³/atom
space-group type	Ia-3d
DFT total energy	-4.45	eV/atom
formation energy without anion corrections	-0.4	eV/f.u.

a b c (Å): 13.1828 13.1828 13.1828
angles (deg): 109.47 109.47 109.47
Fractional coordinates of all 80 atoms:
S 0.8865 0.2992 0.4883
S 0.9883 0.6018 0.1891
S 0.6135 0.0117 0.2008
S 0.3109 0.5117 0.3982
S 0.0117 0.6135 0.7008
S 0.0873 0.8982 0.3865
S 0.8982 0.8109 0.5117
S 0.9883 0.3865 0.2992
S 0.1018 0.1891 0.4883
S 0.0117 0.3982 0.8109
S 0.9127 0.8109 0.7992
S 0.4127 0.2992 0.3109
S 0.7992 0.4883 0.3865
S 0.1891 0.0873 0.7008
S 0.8109 0.9127 0.2992
S 0.7008 0.5873 0.1891
S 0.5873 0.7008 0.6891
S 0.2008 0.5117 0.6135
S 0.3865 0.3982 0.0873
S 0.2008 0.6891 0.0873
S 0.2992 0.8865 0.9883
S 0.6135 0.6018 0.9127
S 0.7992 0.3109 0.9127
S 0.4883 0.7992 0.8865
S 0.8982 0.0873 0.8865
S 0.3982 0.0117 0.3109
S 0.6891 0.4883 0.6018
S 0.1891 0.1018 0.9883
S 0.4883 0.6891 0.1018
S 0.1135 0.4127 0.1018
S 0.5873 0.8865 0.3982
S 0.8865 0.5873 0.8982
S 0.5117 0.2008 0.1135
S 0.1135 0.7008 0.5117
S 0.9127 0.1018 0.6135
S 0.5117 0.3109 0.8982
S 0.0873 0.1891 0.2008
S 0.7008 0.1135 0.0117
S 0.8109 0.8982 0.0117
S 0.1018 0.9127 0.1135
S 0.6018 0.6135 0.4127
S 0.6018 0.9883 0.6891
S 0.2992 0.4127 0.8109
S 0.6891 0.2008 0.5873
S 0.3109 0.7992 0.4127
S 0.3982 0.3865 0.5873
S 0.3865 0.9883 0.7992
S 0.4127 0.1135 0.6018
P 0.3750 0.1250 0.7500
P 0.8750 0.2500 0.6250
P 0.8750 0.6250 0.7500
P 0.0000 0.0000 0.0000
P 0.3750 0.2500 0.1250
P 0.5000 0.5000 0.0000
P 0.6250 0.8750 0.2500
P 0.5000 0.0000 0.0000
P 0.7500 0.1250 0.8750
P 0.1250 0.3750 0.2500
P 0.1250 0.7500 0.3750
P 0.6250 0.7500 0.8750
P 0.2500 0.8750 0.1250
P 0.7500 0.6250 0.3750
P 0.0000 0.0000 0.5000
P 0.2500 0.3750 0.6250
P 0.0000 0.5000 0.5000
P 0.0000 0.5000 0.0000
P 0.5000 0.5000 0.5000
P 0.5000 0.0000 0.5000
Sn 0.6250 0.2500 0.3750
Sn 0.7500 0.8750 0.6250
Sn 0.8750 0.7500 0.1250
Sn 0.2500 0.1250 0.3750
Sn 0.1250 0.8750 0.7500
Sn 0.3750 0.6250 0.2500
Sn 0.6250 0.3750 0.7500
Sn 0.8750 0.1250 0.2500
Sn 0.1250 0.2500 0.8750
Sn 0.2500 0.6250 0.8750
Sn 0.7500 0.3750 0.1250
Sn 0.3750 0.7500 0.6250


Entry from Alexandria via LeMat-Bulk: crystalline SnP2S4 at its relaxed geometry (PBE).

Calculated values
V	24.563	Å³/atom
space-group type	I4/m
DFT total energy	-4.26	eV/atom
formation energy without anion corrections	1.5	eV/f.u.

a b c (Å): 6.1117 6.1117 6.1117
angles (deg): 104.87 104.87 119.12
Fractional coordinates of all 7 atoms:
P 0.7500 0.2500 0.5000
P 0.2500 0.7500 0.5000
S 0.8472 0.3276 0.1749
S 0.1528 0.6724 0.8251
S 0.6724 0.8472 0.5196
S 0.3276 0.1528 0.4804
Sn 0.5000 0.5000 0.0000


Entry from Alexandria via LeMat-Bulk: crystalline SnP2S2 at its relaxed geometry (PBE).

Calculated values
ΔE to the lowest computed polymorph	0.0	meV per atom
V	19.428	Å³/atom
space-group type	P4/mmm
DFT total energy	-4.29	eV/atom
formation energy without anion corrections	1.6	eV/f.u.

a b c (Å): 4.6233 4.6233 4.5446
angles (deg): 90.00 90.00 90.00
Fractional coordinates of all 5 atoms:
P 0.0000 0.0000 0.0000
P 0.0000 0.0000 0.5000
Sn 0.5000 0.5000 0.5000
S 0.5000 0.0000 0.0000
S 0.0000 0.5000 0.0000


Entry from Alexandria via LeMat-Bulk: crystalline SnPS3 at its relaxed geometry (PBE).

Calculated values
V	24.000	Å³/atom
space-group type	Pm-3m
DFT total energy	-3.42	eV/atom
formation energy without anion corrections	4.7	eV/f.u.

a b c (Å): 4.9324 4.9324 4.9324
angles (deg): 90.00 90.00 90.00
Site moments in Bohr magnetons follow the coordinates.
Fractional coordinates of all 5 atoms:
P 0.5000 0.5000 0.5000  0.15
Sn 0.0000 0.0000 0.0000  0.00
S 0.0000 0.5000 0.0000  -0.01
S 0.0000 0.0000 0.5000  -0.01
S 0.5000 0.0000 0.0000  -0.01


Entry from Alexandria via LeMat-Bulk: crystalline Sn2P2S7 at its relaxed geometry (PBE).

Calculated values
V	25.250	Å³/atom
space-group type	C2/m
DFT total energy	-4.44	eV/atom
formation energy without anion corrections	-1.1	eV/f.u.

a b c (Å): 5.7090 7.0885 7.0885
angles (deg): 98.95 97.40 97.40
Fractional coordinates of all 11 atoms:
S 0.7621 0.9027 0.5811
S 0.7237 0.3914 0.3914
S 0.2763 0.6086 0.6086
S 0.2379 0.4189 0.0973
S 0.5000 0.0000 0.0000
S 0.7621 0.5811 0.9027
S 0.2379 0.0973 0.4189
P 0.4167 0.2291 0.2291
P 0.5833 0.7709 0.7709
Sn 0.0000 0.2929 0.7071
Sn 0.0000 0.7071 0.2929


Entry from Alexandria via LeMat-Bulk: crystalline Sn4PS6 at its relaxed geometry (PBE).

Calculated values
V	26.086	Å³/atom
space-group type	Cc
DFT total energy	-4.46	eV/atom
formation energy without anion corrections	-2.9	eV/f.u.

a b c (Å): 6.4949 8.9479 11.2525
angles (deg): 74.61 73.23 68.72
Fractional coordinates of all 22 atoms:
Sn 0.0059 0.6342 0.6794
Sn 0.1158 0.4550 0.1267
Sn 0.3025 0.9550 0.6267
Sn 0.5899 0.7331 0.9637
Sn 0.6786 0.2598 0.7830
Sn 0.2786 0.7598 0.2830
Sn 0.7133 0.2331 0.4637
Sn 0.6805 0.1342 0.1794
S 0.0289 0.6615 0.9166
S 0.6179 0.5965 0.7822
S 0.3735 0.1991 0.9949
S 0.4326 0.6991 0.4949
S 0.2313 0.3066 0.7132
S 0.7489 0.8066 0.2132
S 0.0051 0.5711 0.4413
S 0.0034 0.0965 0.2822
S 0.8627 0.9891 0.6447
S 0.3930 0.1615 0.4166
S 0.5035 0.4891 0.1447
S 0.9825 0.0711 0.9413
P 0.7267 0.7801 0.4086
P 0.0845 0.2801 0.9086


Entry from Alexandria via LeMat-Bulk: crystalline SnPS4 at its relaxed geometry (PBE).

Calculated values
V	30.651	Å³/atom
space-group type	C2/m
DFT total energy	-4.41	eV/atom
formation energy without anion corrections	-0.5	eV/f.u.

a b c (Å): 4.0828 9.8602 10.5524
angles (deg): 117.10 90.00 101.95
Fractional coordinates of all 12 atoms:
P 0.8887 0.7775 0.1421
P 0.1113 0.2225 0.8579
S 0.1053 0.2105 0.0529
S 0.2264 0.4527 0.6119
S 0.8947 0.7895 0.9471
S 0.3250 0.6499 0.1098
S 0.7736 0.5473 0.3881
S 0.6750 0.3501 0.8902
S 0.9916 0.9833 0.3035
S 0.0084 0.0167 0.6965
Sn 0.7558 0.5116 0.7596
Sn 0.2442 0.4884 0.2404


Entry from Alexandria via LeMat-Bulk: crystalline SnPS2 at its relaxed geometry (PBE).

Calculated values
ΔE to the lowest computed polymorph	0.0	meV per atom
V	21.552	Å³/atom
space-group type	R-3m
DFT total energy	-4.39	eV/atom
formation energy without anion corrections	0.1	eV/f.u.

a b c (Å): 8.6084 8.6084 8.6084
angles (deg): 23.10 23.10 23.10
Fractional coordinates of all 4 atoms:
Sn 0.0000 0.0000 0.0000
P 0.5000 0.5000 0.5000
S 0.8883 0.8883 0.8883
S 0.1117 0.1117 0.1117


Entry from Alexandria via LeMat-Bulk: crystalline SnPS3 at its relaxed geometry (PBE).

Calculated values
V	19.568	Å³/atom
space-group type	Pm-3m
DFT total energy	-4.22	eV/atom
formation energy without anion corrections	0.7	eV/f.u.

a b c (Å): 4.6079 4.6079 4.6079
angles (deg): 90.00 90.00 90.00
Fractional coordinates of all 5 atoms:
S 0.0000 0.0000 0.5000
S 0.5000 0.0000 0.0000
S 0.0000 0.5000 0.0000
P 0.0000 0.0000 0.0000
Sn 0.5000 0.5000 0.5000


Entry from Alexandria via LeMat-Bulk: crystalline Sn2PS at its relaxed geometry (PBE).

Calculated values
ΔE to the lowest computed polymorph	3.5	meV per atom
V	24.684	Å³/atom
space-group type	Pnma
DFT total energy	-4.51	eV/atom
formation energy without anion corrections	-0.5	eV/f.u.

a b c (Å): 3.9371 6.7294 14.9063
angles (deg): 90.00 90.00 90.00
Fractional coordinates of all 16 atoms:
Sn 0.7500 0.2555 0.5198
Sn 0.2500 0.8257 0.7505
Sn 0.7500 0.6743 0.2505
Sn 0.7500 0.7555 0.9802
Sn 0.2500 0.2445 0.0198
Sn 0.2500 0.3257 0.7495
Sn 0.2500 0.7445 0.4802
Sn 0.7500 0.1743 0.2495
P 0.2500 0.5732 0.8963
P 0.2500 0.0732 0.6037
P 0.7500 0.4268 0.1037
P 0.7500 0.9268 0.3963
S 0.2500 0.4372 0.3251
S 0.2500 0.9372 0.1749
S 0.7500 0.0628 0.8251
S 0.7500 0.5628 0.6749


Entry from Alexandria via LeMat-Bulk: crystalline Sn2PS at its relaxed geometry (PBE).

Calculated values
ΔE to the lowest computed polymorph	248.6	meV per atom
V	20.889	Å³/atom
space-group type	Fm-3m
DFT total energy	-4.26	eV/atom
formation energy without anion corrections	0.5	eV/f.u.

a b c (Å): 4.9071 4.9071 4.9071
angles (deg): 60.00 60.00 60.00
Fractional coordinates of all 4 atoms:
Sn 0.7500 0.7500 0.7500
Sn 0.2500 0.2500 0.2500
P 0.0000 0.0000 0.0000
S 0.5000 0.5000 0.5000


Entry from Alexandria via LeMat-Bulk: crystalline Sn2PS at its relaxed geometry (PBE).

Calculated values
ΔE to the lowest computed polymorph	147.6	meV per atom
V	26.007	Å³/atom
space-group type	I-42d
DFT total energy	-4.36	eV/atom
formation energy without anion corrections	0.1	eV/f.u.

a b c (Å): 7.0937 7.0937 6.5004
angles (deg): 56.93 56.93 90.00
Fractional coordinates of all 8 atoms:
Sn 0.8750 0.8657 0.7500
Sn 0.6157 0.1250 0.2500
Sn 0.1343 0.6250 0.2500
Sn 0.3750 0.3843 0.7500
P 0.5000 0.5000 0.0000
P 0.2500 0.7500 0.5000
S 0.7500 0.2500 0.5000
S 0.0000 0.0000 0.0000


Entry from Alexandria via LeMat-Bulk: crystalline SrSnP2S8 at its relaxed geometry (PBE).

Calculated values
V	23.173	Å³/atom
space-group type	P-3
DFT total energy	-4.65	eV/atom
formation energy without anion corrections	-6.3	eV/f.u.

a b c (Å): 5.9937 5.9937 8.9383
angles (deg): 90.00 90.00 120.00
Fractional coordinates of all 12 atoms:
Sr 0.0000 0.0000 0.0000
S 0.9987 0.3324 0.6890
S 0.0013 0.6676 0.3110
S 0.6667 0.3333 0.0254
S 0.3337 0.0013 0.6890
S 0.3324 0.3337 0.3110
S 0.3333 0.6667 0.9746
S 0.6663 0.9987 0.3110
S 0.6676 0.6663 0.6890
P 0.6667 0.3333 0.2492
P 0.3333 0.6667 0.7508
Sn 0.0000 0.0000 0.5000


Entry from Alexandria via LeMat-Bulk: crystalline TaSnP2S at its relaxed geometry (PBE).

Calculated values
ΔE to the lowest computed polymorph	1332.2	meV per atom
V	23.042	Å³/atom
space-group type	P4/mmm
DFT total energy	-4.78	eV/atom
formation energy without anion corrections	6.9	eV/f.u.

a b c (Å): 4.8748 4.8748 4.8482
angles (deg): 90.00 90.00 90.00
Site moments in Bohr magnetons follow the coordinates.
Fractional coordinates of all 5 atoms:
Sn 0.0000 0.0000 0.0000  0.02
P 0.0000 0.5000 0.0000  -0.13
P 0.5000 0.0000 0.0000  -0.13
Ta 0.5000 0.5000 0.5000  1.33
S 0.0000 0.0000 0.5000  -0.13


Entry from Alexandria via LeMat-Bulk: crystalline TaSnP2S at its relaxed geometry (PBE).

Calculated values
ΔE to the lowest computed polymorph	0.0	meV per atom
V	22.782	Å³/atom
space-group type	P4/mmm
DFT total energy	-6.11	eV/atom
formation energy without anion corrections	0.3	eV/f.u.

a b c (Å): 4.9060 4.9060 4.7328
angles (deg): 90.00 90.00 90.00
Fractional coordinates of all 5 atoms:
P 0.5000 0.0000 0.0000
P 0.0000 0.5000 0.0000
S 0.0000 0.0000 0.5000
Ta 0.0000 0.0000 0.0000
Sn 0.5000 0.5000 0.5000